Below is a crystal of CoRe5 relaxed with PBEsol, with properties calculated at the meta-GGA SCAN level.

Unit cell a=6.027 b=6.027 c=3.817 alpha=90.00 beta=90.00 gamma=143.08
Element x y z (fractional)
Co: 0.000 0.000 0.000
Re: 0.162 0.838 0.500
Re: 0.338 0.662 0.000
Re: 0.500 0.500 0.500
Re: 0.662 0.338 0.000
Re: 0.838 0.162 0.500

DFT formation energy: 8.50 kJ/mol of atoms
E above lowest polymorph: 56.8 meV/atom
D(E_F): 5.1 states/eV per cell


Below is a crystal of Co3Re relaxed with PBEsol, with properties calculated at the meta-GGA SCAN level.

Unit cell a=7.526 b=7.526 c=7.526 alpha=152.96 beta=152.96 gamma=38.61
Element x y z (fractional)
Co: 0.000 0.500 0.500
Co: 0.119 0.119 0.000
Co: 0.250 0.750 0.500
Co: 0.500 0.000 0.500
Co: 0.750 0.250 0.500
Co: 0.881 0.881 0.000
Re: 0.372 0.372 0.000
Re: 0.628 0.628 0.000

DFT formation energy: 20.94 kJ/mol of atoms
D(E_F): 5.8 states/eV per cell


Below is a crystal of CoRe2 relaxed with PBEsol, with properties calculated at the meta-GGA SCAN level.

Unit cell a=5.042 b=5.042 c=6.257 alpha=104.00 beta=104.00 gamma=30.65
Element x y z (fractional)
Co: 0.029 0.029 0.309
Co: 0.971 0.971 0.691
Re: 0.316 0.316 0.365
Re: 0.365 0.365 0.973
Re: 0.635 0.635 0.027
Re: 0.684 0.684 0.635

DFT formation energy: 10.06 kJ/mol of atoms
E above lowest polymorph: 59.9 meV/atom
D(E_F): 4.8 states/eV per cell


Below is a crystal of CoRe5 relaxed with PBEsol, with properties calculated at the meta-GGA SCAN level.

Unit cell a=4.714 b=4.714 c=4.328 alpha=90.00 beta=90.00 gamma=120.00
Element x y z (fractional)
Co: 0.000 0.000 0.000
Re: 0.000 0.326 0.500
Re: 0.326 0.000 0.500
Re: 0.333 0.667 0.000
Re: 0.667 0.333 0.000
Re: 0.674 0.674 0.500

DFT formation energy: 3.02 kJ/mol of atoms
E above lowest polymorph: 0.0 meV/atom
D(E_F): 5.0 states/eV per cell


Which of these has the lowest D(E_F)?
CoRe2